Here is a relaxed structure of SrZrFeS2 from Alexandria via LeMat-Bulk. Energies are from PBE-GGA.

Cell: 5.279 5.989 5.279 Å, 90.00 90.00 90.00°
Site moments in Bohr magnetons follow the coordinates.
Atoms (fractional coordinates):
S (0.000, 0.000, 0.500)  0.26
S (0.500, 0.000, 0.000)  0.22
Zr (0.000, 0.500, 0.000)  -1.41
Sr (0.000, 0.000, 0.000)  -0.12
Fe (0.500, 0.500, 0.500)  0.02

Output
uncorrected formation energy	8.41	eV per formula unit


Here is a relaxed structure of Cs3YI6 from Alexandria via LeMat-Bulk. Energies are from PBE-GGA.

Cell: 9.413 9.413 9.413 Å, 60.00 60.00 60.00°
Atoms (fractional coordinates):
Y (0.000, 0.000, 0.000)
Cs (0.500, 0.500, 0.500)
Cs (0.750, 0.750, 0.750)
Cs (0.250, 0.250, 0.250)
I (0.227, 0.227, 0.773)
I (0.227, 0.773, 0.227)
I (0.227, 0.773, 0.773)
I (0.773, 0.227, 0.773)
I (0.773, 0.227, 0.227)
I (0.773, 0.773, 0.227)

Output
E above lowest polymorph	50	meV/atom
uncorrected formation energy	-14.68	eV per formula unit


Here is a relaxed structure of CsIn12 from Alexandria via LeMat-Bulk. Energies are from PBE-GGA.

Cell: 8.864 8.864 8.864 Å, 60.00 60.00 60.00°
Atoms (fractional coordinates):
In (0.500, 0.839, 0.161)
In (0.500, 0.839, 0.500)
In (0.839, 0.500, 0.161)
In (0.161, 0.500, 0.839)
In (0.839, 0.161, 0.500)
In (0.500, 0.500, 0.839)
In (0.500, 0.161, 0.839)
In (0.500, 0.500, 0.161)
In (0.500, 0.161, 0.500)
In (0.839, 0.500, 0.500)
In (0.161, 0.839, 0.500)
In (0.161, 0.500, 0.500)
Cs (0.000, 0.000, 0.000)

Output
ΔE_f	0.085	eV/atom


Calculated density, record by record: 2.97; 3.52; 5.09 g cm⁻³
Final energy, record by record: -3.71; -3.30; -2.51 eV per atom